The following is a GGA+U calculation of Sb2TeWF after structural relaxation, from the Alexandria database.

```
Sb2TeWF
1.0
4.6898 0.0000 0.0000
0.0000 4.6898 0.0000
0.0000 0.0000 5.5964
Sb Te W F
2 1 1 1
Cartesian
0.0000 2.3449 0.0000
2.3449 0.0000 0.0000
0.0000 0.0000 2.7982
2.3449 2.3449 2.7982
0.0000 0.0000 0.0000
```

Space group   P4/mmm (123)
E_tot   -18.54 eV for the cell shown
Calculated density   7.74 g/cm³